# VBrO2 | Alexandria via LeMat-Bulk | GGA+U | relaxed
data_VBrO2
_cell_length_a 3.1790
_cell_length_b 3.1790
_cell_length_c 24.0263
_cell_angle_alpha 90.00
_cell_angle_beta 90.00
_cell_angle_gamma 120.00
_symmetry_space_group_name_H-M 'R -3 m'
_symmetry_Int_Tables_number 166
_symmetry_space_group_name_Hall '-R 3 2"'
loop_
_atom_site_label
_atom_site_fract_x
_atom_site_fract_y
_atom_site_fract_z
_atom_site_occupancy
V1 0.0000 0.0000 0.0000 1
Br1 0.0000 0.0000 0.5000 1
O1 0.0000 0.0000 0.0712 1
# - D(E_F): 12.8 states/eV per cell
# - Volume: 17.524 Å³ per atom
# - Excess energy over the best structure of this formula in the dataset: 1453 meV/atom